An optimized crystal structure of CsAc2CoO4, computed with PBE with a Hubbard U. Values from VASP.

Properties
* total moment: 4.02 Bohr magnetons per cell
* DFT total energy: -103.16 eV/cell

Quantum ESPRESSO input file:
```
&SYSTEM
  ibrav = 0, nat = 16, ntyp = 4
/
ATOMIC_SPECIES
Ac 227.00 Ac.upf
O 16.00 O.upf
Cs 132.91 Cs.upf
Co 58.93 Co.upf
ATOMIC_POSITIONS angstrom
Ac 0.873 -3.749 7.628
O -1.207 0.375 6.216
Cs -1.246 -0.497 9.498
O -2.376 -3.153 11.497
O 0.000 0.000 0.000
Co -1.758 -3.711 9.592
O 1.281 -2.747 1.593
Ac -1.968 -2.151 5.462
O 0.210 -3.228 9.945
O -1.305 -2.672 3.144
Ac -1.044 -2.438 0.703
Cs 0.150 -5.403 3.592
O -1.609 -3.392 7.544
Ac -0.051 -3.462 12.387
Co 0.663 -2.189 3.497
O 0.513 -2.509 5.546
CELL_PARAMETERS angstrom
-3.429 -1.917 -0.550
4.747 -4.733 1.207
-2.414 0.750 12.433
```